Entry 1:
SiAgNF2 PBE relaxed; formation energy from raw total energies = -1.0112 eV per atom; distance to the lowest polymorph of the same formula = 0 meV/atom
1.0
4.138 0.000 0.000
0.000 4.138 0.000
0.000 0.000 3.308
Ag F N Si
1 2 1 1
Direct
0.500 0.500 0.500 Ag
0.500 0.000 0.000 F
0.000 0.500 0.000 F
0.000 0.000 0.500 N
0.000 0.000 0.000 Si

Entry 2:
SiAgN2F PBE relaxed; formation energy from raw total energies = 1.4766 eV per atom; distance to the lowest polymorph of the same formula = 1540 meV/atom
1.0
-2.578 -0.622 3.088
-2.696 -1.628 -2.578
1.741 -3.931 0.662
F N Si Ag
1 2 1 1
Direct
0.000 0.000 0.500 F
0.500 0.000 0.000 N
0.000 0.500 0.000 N
0.500 0.500 0.500 Si
0.000 0.000 0.000 Ag

Entry 3:
SiAgN2F PBE relaxed; formation energy from raw total energies = -0.0631 eV per atom; distance to the lowest polymorph of the same formula = 0 meV/atom
1.0
-1.079 -2.053 -2.776
2.915 -2.100 0.420
-1.992 -2.273 2.456
Ag N Si F
1 2 1 1
Direct
0.500 0.500 0.500 Ag
0.000 0.500 0.000 N
0.500 0.000 0.000 N
0.000 0.000 0.000 Si
0.000 0.000 0.500 F

Entry 4:
SiAgNF2 PBE relaxed; formation energy from raw total energies = 0.4074 eV per atom; distance to the lowest polymorph of the same formula = 1419 meV/atom
1.0
4.289 0.000 0.000
0.000 4.289 0.000
0.000 0.000 4.081
F N Ag Si
2 1 1 1
Direct
0.500 0.000 0.000 F
0.000 0.500 0.000 F
0.000 0.000 0.500 N
0.000 0.000 0.000 Ag
0.500 0.500 0.500 Si

Entry 5:
AgSnNF2 PBE relaxed; formation energy from raw total energies = -0.6603 eV per atom; distance to the lowest polymorph of the same formula = 0 meV/atom
1.0
4.326 0.000 0.000
0.000 4.326 0.000
0.000 0.000 3.942
F Sn N Ag
2 1 1 1
Direct
0.000 0.500 0.000 F
0.500 0.000 0.000 F
0.000 0.000 0.000 Sn
0.000 0.000 0.500 N
0.500 0.500 0.500 Ag

Entry 6:
AgSnNF2 PBE relaxed; formation energy from raw total energies = -0.1390 eV per atom; distance to the lowest polymorph of the same formula = 521 meV/atom
1.0
-4.055 1.572 -0.914
-0.239 -2.675 -3.541
-1.654 -2.920 2.317
F Sn N Ag
2 1 1 1
Direct
0.000 0.500 0.000 F
0.500 0.000 0.000 F
0.500 0.500 0.500 Sn
0.000 0.000 0.500 N
0.000 0.000 0.000 Ag

Entry 7:
SrAgN2F PBE relaxed; formation energy from raw total energies = 0.0869 eV per atom; distance to the lowest polymorph of the same formula = 0 meV/atom
1.0
-1.213 -0.972 -3.734
1.701 -3.648 0.397
-4.174 -1.749 1.811
F Sr N Ag
1 1 2 1
Direct
0.000 0.000 0.500 F
0.500 0.500 0.500 Sr
0.000 0.500 0.000 N
0.500 0.000 0.000 N
0.000 0.000 0.000 Ag

Entry 8:
SrAgN2F PBE relaxed; formation energy from raw total energies = 0.6472 eV per atom; distance to the lowest polymorph of the same formula = 560 meV/atom
1.0
5.059 0.000 0.000
0.000 5.059 0.000
0.000 0.000 4.572
F Ag N Sr
1 1 2 1
Direct
0.000 0.000 0.500 F
0.500 0.500 0.500 Ag
0.500 0.000 0.000 N
0.000 0.500 0.000 N
0.000 0.000 0.000 Sr

Entry 9:
TaAgN2F PBE relaxed; formation energy from raw total energies = 1.3777 eV per atom; distance to the lowest polymorph of the same formula = 1870 meV/atom
1.0
4.060 0.000 0.000
0.000 4.060 0.000
0.000 0.000 3.926
F N Ag Ta
1 2 1 1
Direct
0.000 0.000 0.500 F
0.000 0.500 0.000 N
0.500 0.000 0.000 N
0.000 0.000 0.000 Ag
0.500 0.500 0.500 Ta

Entry 10:
TaAgN2F PBE relaxed; formation energy from raw total energies = -0.4926 eV per atom; distance to the lowest polymorph of the same formula = 0 meV/atom
1.0
-3.160 -1.574 -2.029
0.134 -3.314 2.362
-2.582 1.779 2.642
Ag Ta F N
1 1 1 2
Direct
0.500 0.500 0.500 Ag
0.000 0.000 0.000 Ta
0.000 0.000 0.500 F
0.500 0.000 0.000 N
0.000 0.500 0.000 N

Entry 11:
TlAgNF2 PBE relaxed; formation energy from raw total energies = -0.0916 eV per atom; distance to the lowest polymorph of the same formula = 161 meV/atom
1.0
4.594 0.000 0.000
0.000 4.594 0.000
0.000 0.000 4.205
F Tl Ag N
2 1 1 1
Direct
0.000 0.500 0.000 F
0.500 0.000 0.000 F
0.000 0.000 0.000 Tl
0.500 0.500 0.500 Ag
0.000 0.000 0.500 N

Entry 12:
TlAgNF2 PBE relaxed; formation energy from raw total energies = -0.2530 eV per atom; distance to the lowest polymorph of the same formula = 0 meV/atom
1.0
-1.978 1.962 3.721
-2.833 -3.661 0.425
2.745 -1.842 2.430
Ag N F Tl
1 1 2 1
Direct
0.000 0.000 0.000 Ag
0.000 0.000 0.500 N
0.000 0.500 0.000 F
0.500 0.000 0.000 F
0.500 0.500 0.500 Tl

Question: Which value of distance to the lowest polymorph of the same formula does entry 12 give?
Answer: 0 meV/atom

Question: The highest formation energy from raw total energies belongs to which entry?
Answer: number 2